PBE-GGA U3TeBr7, relaxed; energy = -5.56 eV/atom; ΔE_f (raw) = -1.127 eV/atom; theoretical density = 5.28 Mg/m³
1.0
8.4123 0.0000 0.0000
-4.2061 7.2853 0.0000
0.0000 0.0000 7.1916
U Te Br
3 1 7
Direct
0.1676 0.3351 0.0000
0.1676 0.8324 0.0000
0.6649 0.8324 0.0000
0.3333 0.6667 0.2613
0.0000 0.0000 0.7550
0.0077 0.5038 0.7732
0.3234 0.1617 0.2233
0.4962 0.5038 0.7732
0.4962 0.9923 0.7732
0.8383 0.1617 0.2233
0.8383 0.6766 0.2233

---

PBE-GGA UTeBr, relaxed; energy = -6.09 eV/atom; ΔE to the lowest computed polymorph = 0.1692 eV per atom; ΔE_f (raw) = -0.718 eV/atom; theoretical density = 8.41 Mg/m³
1.0
2.1194 -6.4484 0.0000
2.1194 6.4484 0.0000
0.0000 0.0000 6.4393
U Te Br
2 2 2
Direct
0.1226 0.8774 0.7500
0.8774 0.1226 0.2500
0.2043 0.7957 0.2500
0.7957 0.2043 0.7500
0.5000 0.5000 0.0000
0.5000 0.5000 0.5000

---

PBE-GGA UTeBr2, relaxed; energy = -5.35 eV/atom; ΔE to the lowest computed polymorph = 0.0368 eV per atom; ΔE_f (raw) = -0.907 eV/atom; theoretical density = 5.89 Mg/m³
1.0
4.7452 0.0000 0.0000
0.0000 3.8972 0.0000
-2.3439 0.0000 8.0055
U Te Br
1 1 2
Direct
0.0000 0.0000 0.0000
0.5326 0.5000 0.0661
0.1655 0.0000 0.3360
0.8641 0.5000 0.7253